1.
# Tl2SnHgI6

A relaxed Tl2SnHgI6 crystal (PBE, the Alexandria database).

Geometry as POSCAR:
```
Tl2SnHgI6
1.0
-6.2421 -5.0496 3.7586
1.6183 -6.5682 5.1988
-2.7026 1.3768 8.3481
I Hg Tl Sn
6 1 2 1
Direct
0.4982 0.6917 0.7587 I
0.9921 0.5998 0.1989 I
0.6490 0.1237 0.7744 I
0.1804 0.9625 0.2531 I
0.0810 0.4850 0.7273 I
0.5733 0.1699 0.2847 I
0.3295 0.2340 0.1236 Hg
0.5160 0.5287 0.4445 Tl
0.0209 0.0619 0.9108 Tl
0.8214 0.8045 0.5392 Sn
```

## Properties
Crystal system   triclinic
Formation energy from raw total energies   -0.48 eV/atom
Uncorrected energy   -2.309 eV per atom

=====

2.
# USnHgI6

A relaxed USnHgI6 crystal (PBE, the Alexandria database).

Geometry as POSCAR:
```
USnHgI6
1.0
7.9662 0.0000 0.0000
-3.9831 6.8989 0.0000
0.0000 0.0000 18.4375
I U Sn Hg
12 2 2 2
Direct
0.0154 0.6500 0.8450 I
0.6500 0.0154 0.3450 I
0.3654 0.0154 0.1550 I
0.0154 0.3654 0.6550 I
0.6346 0.6500 0.6550 I
0.3500 0.9846 0.6550 I
0.3654 0.3500 0.3450 I
0.9846 0.6346 0.3450 I
0.9846 0.3500 0.1550 I
0.3500 0.3654 0.8450 I
0.6500 0.6346 0.1550 I
0.6346 0.9846 0.8450 I
0.3333 0.6667 0.7500 U
0.6667 0.3333 0.2500 U
0.6667 0.3333 0.7500 Sn
0.3333 0.6667 0.2500 Sn
0.0000 0.0000 0.0000 Hg
0.0000 0.0000 0.5000 Hg
```

## Properties
Crystal system   trigonal
Formation energy from raw total energies   -0.62 eV/atom
Uncorrected energy   -3.388 eV per atom

=====

3.
# SrHg2I2

A relaxed SrHg2I2 crystal (PBE, the Alexandria database).

Geometry as POSCAR:
```
SrHg2I2
1.0
4.2002 0.0000 0.0000
0.0000 4.2002 0.0000
2.1001 2.1001 11.0899
Hg I Sr
2 2 1
Direct
0.7500 0.2500 0.5000 Hg
0.2500 0.7500 0.5000 Hg
0.4147 0.4147 0.1707 I
0.5853 0.5853 0.8293 I
0.0000 0.0000 0.0000 Sr
```

## Properties
Crystal system   tetragonal
Formation energy from raw total energies   -0.88 eV/atom
Uncorrected energy   -1.958 eV per atom
Energy above the most stable polymorph in this dataset   0.0 meV/atom

=====

4.
# SrHg3I9

A relaxed SrHg3I9 crystal (PBE, the Alexandria database).

Geometry as POSCAR:
```
SrHg3I9
1.0
-6.5932 -4.8580 6.5485
5.6493 -7.3883 8.6022
-1.3087 5.6951 11.3026
Sr Hg I
2 6 18
Direct
0.5058 0.9897 0.4994 Sr
0.0051 0.4897 0.9994 Sr
0.4361 0.7812 0.2243 Hg
0.1993 0.4143 0.3199 Hg
0.5584 0.2812 0.7243 Hg
0.9830 0.0624 0.1700 Hg
0.0666 0.9143 0.8199 Hg
0.7846 0.5624 0.6700 Hg
0.8681 0.2933 0.2053 I
0.9912 0.5786 0.2240 I
0.2884 0.9503 0.0627 I
0.8640 0.8984 0.3530 I
0.5284 0.2258 0.5380 I
0.8845 0.3984 0.8530 I
0.1545 0.6851 0.7952 I
0.1197 0.5003 0.5429 I
0.4059 0.5445 0.2992 I
0.7503 0.0445 0.7992 I
0.3652 0.1851 0.2952 I
0.3622 0.3335 0.9440 I
0.3604 0.8335 0.4440 I
0.6986 0.4503 0.5627 I
0.6334 0.7933 0.7053 I
0.2062 0.0786 0.7240 I
0.7078 0.7258 0.0380 I
0.8371 0.0003 0.0429 I
```

## Properties
Crystal system   monoclinic
Formation energy from raw total energies   -0.50 eV/atom
Uncorrected energy   -1.771 eV per atom